Entry 1:
A relaxed structure of Re2Mo2Ir, computed with GGA-PBE.

The space group is I4/mmm (No. 139) and the conventional cell measures 4.109, 4.109 and 10.628 Å, with angles of 90.00, 90.00 and 90.00 degrees. The asymmetric unit holds Re at (0.000, 0.000, 0.114), Mo at (0.000, 0.500, 0.250) and Ir at (0.000, 0.000, 0.500).

Its excess energy over the best structure of this formula in the dataset is 530 meV/atom. The formation energy comes out at 0.88 eV/atom.

=====

Entry 2:
A relaxed structure of LaSeBr2, computed with GGA-PBE.

The space group is R3m (No. 160, hexagonal axes) and the conventional cell measures 5.1480, 5.1480 and 17.2121 Å, with angles of 90.00, 90.00 and 120.00 degrees. The asymmetric unit holds La at (0.0000, 0.0000, 0.0000), Se at (0.0000, 0.0000, 0.6205), Br at (0.0000, 0.0000, 0.1729) and Br at (0.0000, 0.0000, 0.3945).

As for the raw formation energy: -510 kJ/mol of formula units. Its excess energy over the best structure of this formula in the dataset is 144 meV/atom.

=====

Entry 3:
A relaxed structure of TlCdRu2, computed with GGA-PBE.

The space group is I-4m2 (No. 119) and the conventional cell measures 4.150, 4.150 and 8.109 Å, with angles of 90.00, 90.00 and 90.00 degrees. The asymmetric unit holds Tl at (0.000, 0.000, 0.000), Cd at (0.000, 0.500, 0.750), Ru at (0.000, 0.000, 0.500) and Ru at (0.000, 0.500, 0.250).

The formation energy comes out at 0.62 eV/atom.

=====

Entry 4:
A relaxed structure of UInNiAu, computed with GGA-PBE.

The space group is F-43m (No. 216) and the conventional cell measures 6.809, 6.809 and 6.809 Å, with angles of 90.00, 90.00 and 90.00 degrees. The asymmetric unit holds U at (0.000, 0.000, 0.000), In at (0.000, 0.000, 0.500), Ni at (0.250, 0.250, 0.250) and Au at (0.250, 0.250, 0.750).

The formation energy comes out at -0.08 eV/atom.

=====

Entry 5:
A relaxed structure of PmDyScTl, computed with GGA-PBE.

The space group is F-43m (No. 216) and the conventional cell measures 7.597, 7.597 and 7.597 Å, with angles of 90.00, 90.00 and 90.00 degrees. The asymmetric unit holds Pm at (0.000, 0.000, 0.000), Dy at (0.250, 0.250, 0.750), Sc at (0.250, 0.250, 0.250) and Tl at (0.000, 0.000, 0.500).

Its excess energy over the best structure of this formula in the dataset is 175 meV/atom. The formation energy comes out at 0.00 eV/atom.

=====

Entry 6:
A relaxed structure of Sm6Dy3Sc, computed with GGA-PBE.

The space group is C2/m (No. 12) and the conventional cell measures 9.228, 8.391 and 8.976 Å, with angles of 90.00, 101.46 and 90.00 degrees. The asymmetric unit holds Sm at (0.118, 0.185, 0.355), Sm at (0.121, 0.500, 0.871), Dy at (0.000, 0.000, 0.000), Dy at (0.220, 0.000, 0.738) and Sc at (0.000, 0.500, 0.500).

Its excess energy over the best structure of this formula in the dataset is 140 meV/atom. The formation energy comes out at 0.28 eV/atom.

=====

Entry 7:
A relaxed structure of Sm5GaRu2, computed with GGA-PBE.

The space group is I4/mcm (No. 140) and the conventional cell measures 7.833, 7.833 and 13.455 Å, with angles of 90.00, 90.00 and 90.00 degrees. The asymmetric unit holds Sm at (0.000, 0.000, 0.000), Sm at (0.162, 0.338, 0.137), Ga at (0.000, 0.000, 0.250) and Ru at (0.139, 0.361, 0.500).

The formation energy comes out at -0.34 eV/atom.

=====

Entry 8:
A relaxed structure of SrPaGeN4, computed with GGA-PBE.

The space group is P2_1/m (No. 11) and the conventional cell measures 5.727, 5.611 and 7.222 Å, with angles of 90.00, 107.47 and 90.00 degrees. The asymmetric unit holds Sr at (0.199, 0.250, 0.427), Pa at (0.280, 0.250, 0.948), Ge at (0.254, 0.750, 0.181), N at (0.033, 0.750, 0.927), N at (0.044, 0.750, 0.331) and N at (0.478, 0.502, 0.196).

As for the raw formation energy: -433 kJ/mol of formula units.

=====

Entry 9:
A relaxed structure of Mo2PbCl, computed with GGA-PBE.

The space group is P2/m (No. 10) and the conventional cell measures 3.787, 4.701 and 5.183 Å, with angles of 90.00, 91.38 and 90.00 degrees. The asymmetric unit holds Mo at (0.190, 0.000, 0.166), Pb at (0.500, 0.500, 0.000) and Cl at (0.000, 0.500, 0.500).

As for the raw formation energy: 263 kJ/mol of formula units. Its excess energy over the best structure of this formula in the dataset is 616 meV/atom.

=====

Entry 10:
A relaxed structure of Y2TiAgN, computed with GGA-PBE.

The space group is P4/mmm (No. 123) and the conventional cell measures 4.951, 4.951 and 4.022 Å, with angles of 90.00, 90.00 and 90.00 degrees. The asymmetric unit holds Y at (0.000, 0.500, 0.000), Ti at (0.000, 0.000, 0.500), Ag at (0.500, 0.500, 0.500) and N at (0.000, 0.000, 0.000).

As for the raw formation energy: -368 kJ/mol of formula units.

=====

Entry 11:
A relaxed structure of Hf2PaNb, computed with GGA-PBE.

The space group is Fm-3m (No. 225) and the conventional cell measures 7.013, 7.013 and 7.013 Å, with angles of 90.00, 90.00 and 90.00 degrees. The asymmetric unit holds Hf at (0.250, 0.250, 0.250), Pa at (0.000, 0.000, 0.000) and Nb at (0.000, 0.000, 0.500).

Its excess energy over the best structure of this formula in the dataset is 22 meV/atom. The formation energy comes out at 0.14 eV/atom.

=====

Entry 12:
A relaxed structure of KTlSb2, computed with GGA-PBE.

The space group is I-4m2 (No. 119) and the conventional cell measures 5.068, 5.068 and 9.703 Å, with angles of 90.00, 90.00 and 90.00 degrees. The asymmetric unit holds K at (0.000, 0.000, 0.000), Tl at (0.000, 0.500, 0.250), Sb at (0.000, 0.000, 0.500) and Sb at (0.000, 0.500, 0.750).

As for the raw formation energy: -11 kJ/mol of formula units. Its excess energy over the best structure of this formula in the dataset is 181 meV/atom.